No. 1
4
Lattice="0.000 2.914 2.914 2.914 0.000 2.914 2.914 2.914 0.000" Properties=species:S:1:pos:R:3 comment="BeZnCoAs (PBE, relaxed)" energy_ev_per_atom=-3.931 relative_energy_ev_per_atom=0.021 density_g_cm3=7.0 total_magnetization_mub_per_atom=0.00 pbc="T T T"
Co 2.914 2.914 2.914
Zn 0.000 0.000 0.000
As 1.457 1.457 1.457
Be 4.371 4.371 4.371

No. 2
4
Lattice="-1.405 -1.559 3.541 -4.035 0.045 0.810 -2.139 -3.517 -0.005" Properties=species:S:1:pos:R:3 comment="BeZnCoAs (PBE, relaxed)" energy_ev_per_atom=-3.952 relative_energy_ev_per_atom=0.000 density_g_cm3=7.0 total_magnetization_mub_per_atom=0.00 pbc="T T T"
Be 0.000 0.000 0.000
As -1.895 -1.258 1.086
Co -3.790 -2.516 2.173
Zn -5.685 -3.774 3.259

No. 3
4
Lattice="0.000 3.051 3.051 3.051 0.000 3.051 3.051 3.051 0.000" Properties=species:S:1:pos:R:3 comment="ZrBeCoAs (PBE, relaxed)" energy_ev_per_atom=-6.043 relative_energy_ev_per_atom=0.000 density_g_cm3=6.8 total_magnetization_mub_per_atom=0.00 pbc="T T T"
Be 1.526 1.526 1.526
Co 4.577 4.577 4.577
As 0.000 0.000 0.000
Zr 3.051 3.051 3.051

No. 4
4
Lattice="0.000 3.063 3.063 3.063 0.000 3.063 3.063 3.063 0.000" Properties=species:S:1:pos:R:3 comment="ZrBeCoAs (PBE, relaxed)" energy_ev_per_atom=-6.036 relative_energy_ev_per_atom=0.007 density_g_cm3=6.8 total_magnetization_mub_per_atom=0.30 pbc="T T T"
As 0.000 0.000 0.000
Be 3.063 3.063 3.063
Zr 1.532 1.532 1.532
Co 4.595 4.595 4.595